[1]
Material: NdTmSi2Pd5
Method: DFT, PBE-GGA
State: relaxed

Cell and atoms, written as CIF:
```
data_NdTmSi2Pd5
_chemical_formula_sum 'Nd1 Tm1 Si2 Pd5'
_cell_length_a 4.209
_cell_length_b 4.209
_cell_length_c 9.008
_cell_angle_alpha 90.00
_cell_angle_beta 90.00
_cell_angle_gamma 90.00
_symmetry_space_group_name_H-M 'P 4/m m m'
_symmetry_Int_Tables_number 123
_symmetry_space_group_name_Hall '-P 4 2'
loop_
_atom_site_label
_atom_site_fract_x
_atom_site_fract_y
_atom_site_fract_z
_atom_site_occupancy
Nd1 0.000 0.000 0.000 1
Tm1 0.000 0.000 0.500 1
Si1 0.500 0.500 0.371 1
Pd1 0.000 0.500 0.238 1
Pd2 0.500 0.500 0.000 1
```

Output
total DFT energy (no corrections)	-6.000	eV per atom
crystal system	tetragonal
formation energy without anion corrections	-85.3	kJ per mole of atoms



[2]
Material: Sr2Mg6Zn
Method: DFT, PBE-GGA
State: relaxed

Cell and atoms, written as CIF:
```
data_Sr2Mg6Zn
_chemical_formula_sum 'Sr4 Mg12 Zn2'
_cell_length_a 10.757
_cell_length_b 6.753
_cell_length_c 6.979
_cell_angle_alpha 90.00
_cell_angle_beta 98.10
_cell_angle_gamma 90.00
_symmetry_space_group_name_H-M 'C 1 2/m 1'
_symmetry_Int_Tables_number 12
loop_
_symmetry_equiv_pos_as_xyz
'x,y,z'
'-x,-y,-z'
'-x,y,-z'
'x,-y,z'
'x+1/2,y+1/2,z'
'-x+1/2,-y+1/2,-z'
'-x+1/2,y+1/2,-z'
'x+1/2,-y+1/2,z'
loop_
_atom_site_label
_atom_site_fract_x
_atom_site_fract_y
_atom_site_fract_z
_atom_site_occupancy
Sr1 0.162 0.000 0.377 1
Mg1 0.114 0.232 0.851 1
Mg2 0.130 0.500 0.188 1
Zn1 0.000 0.500 0.500 1
```

Output
total DFT energy (no corrections)	-1.632	eV per atom
energy of formation	-0.053	eV per atom
crystal system	monoclinic



[3]
Material: PmNb2N3
Method: DFT, PBE-GGA
State: relaxed

Cell and atoms, written as CIF:
```
data_PmNb2N3
_chemical_formula_sum 'Pm4 Nb8 N12'
_cell_length_a 8.873
_cell_length_b 8.684
_cell_length_c 5.781
_cell_angle_alpha 90.00
_cell_angle_beta 90.00
_cell_angle_gamma 90.00
_symmetry_space_group_name_H-M 'C m c m'
_symmetry_Int_Tables_number 63
_symmetry_space_group_name_Hall '-C 2c 2'
loop_
_atom_site_label
_atom_site_fract_x
_atom_site_fract_y
_atom_site_fract_z
_atom_site_occupancy
Pm1 0.000 0.137 0.250 1
Nb1 0.160 0.500 0.000 1
N1 0.000 0.433 0.750 1
N2 0.185 0.046 0.750 1
```

Output
total DFT energy (no corrections)	-8.760	eV per atom
crystal system	orthorhombic
formation energy without anion corrections	-43.3	kJ per mole of atoms



[4]
Material: SrThCu2Ge2
Method: DFT, PBE-GGA
State: relaxed

Cell and atoms, written as CIF:
```
data_SrThCu2Ge2
_chemical_formula_sum 'Sr1 Th1 Cu2 Ge2'
_cell_length_a 4.3226
_cell_length_b 4.3226
_cell_length_c 8.2654
_cell_angle_alpha 90.00
_cell_angle_beta 90.00
_cell_angle_gamma 120.00
_symmetry_space_group_name_H-M 'P -3 m 1'
_symmetry_Int_Tables_number 164
_symmetry_space_group_name_Hall '-P 3 2"'
loop_
_atom_site_label
_atom_site_fract_x
_atom_site_fract_y
_atom_site_fract_z
_atom_site_occupancy
Sr1 0.0000 0.0000 0.0000 1
Th1 0.0000 0.0000 0.5000 1
Cu1 0.3333 0.6667 0.7296 1
Ge1 0.3333 0.6667 0.2749 1
```

Output
total DFT energy (no corrections)	-4.996	eV per atom
energy of formation	-0.574	eV per atom
crystal system	trigonal



[5]
Material: Th6SiC2Se3
Method: DFT, PBE-GGA
State: relaxed

Cell and atoms, written as CIF:
```
data_Th6SiC2Se3
_chemical_formula_sum 'Th12 Si2 C4 Se6'
_cell_length_a 18.125
_cell_length_b 3.997
_cell_length_c 8.410
_cell_angle_alpha 90.00
_cell_angle_beta 106.62
_cell_angle_gamma 90.00
_symmetry_space_group_name_H-M 'C 1 2/m 1'
_symmetry_Int_Tables_number 12
loop_
_symmetry_equiv_pos_as_xyz
'x,y,z'
'-x,-y,-z'
'-x,y,-z'
'x,-y,z'
'x+1/2,y+1/2,z'
'-x+1/2,-y+1/2,-z'
'-x+1/2,y+1/2,-z'
'x+1/2,-y+1/2,z'
loop_
_atom_site_label
_atom_site_fract_x
_atom_site_fract_y
_atom_site_fract_z
_atom_site_occupancy
Th1 0.019 0.000 0.251 1
Th2 0.167 0.500 0.123 1
Th3 0.179 0.500 0.557 1
Si1 0.000 0.500 0.000 1
C1 0.172 0.000 0.338 1
Se1 0.000 0.500 0.500 1
Se2 0.161 0.000 0.833 1
```

Output
total DFT energy (no corrections)	-7.649	eV per atom
crystal system	monoclinic
formation energy without anion corrections	-104.1	kJ per mole of atoms



[6]
Material: Cs2Tl5Pt4
Method: DFT, PBE-GGA
State: relaxed

Cell and atoms, written as CIF:
```
data_Cs2Tl5Pt4
_chemical_formula_sum 'Cs4 Tl10 Pt8'
_cell_length_a 13.132
_cell_length_b 7.274
_cell_length_c 8.262
_cell_angle_alpha 90.00
_cell_angle_beta 114.88
_cell_angle_gamma 90.00
_symmetry_space_group_name_H-M 'C 1 2/m 1'
_symmetry_Int_Tables_number 12
loop_
_symmetry_equiv_pos_as_xyz
'x,y,z'
'-x,-y,-z'
'-x,y,-z'
'x,-y,z'
'x+1/2,y+1/2,z'
'-x+1/2,-y+1/2,-z'
'-x+1/2,y+1/2,-z'
'x+1/2,-y+1/2,z'
loop_
_atom_site_label
_atom_site_fract_x
_atom_site_fract_y
_atom_site_fract_z
_atom_site_occupancy
Cs1 0.154 0.000 0.481 1
Tl1 0.000 0.500 0.500 1
Tl2 0.145 0.259 0.070 1
Pt1 0.023 0.500 0.189 1
Pt2 0.191 0.500 0.825 1
```

Output
total DFT energy (no corrections)	-3.547	eV per atom
energy of formation	-0.120	eV per atom
crystal system	monoclinic



[7]
Material: Pr5Sm4Sc2
Method: DFT, PBE-GGA
State: relaxed

Cell and atoms, written as CIF:
```
data_Pr5Sm4Sc2
_chemical_formula_sum 'Pr5 Sm4 Sc2'
_cell_length_a 3.575
_cell_length_b 8.836
_cell_length_c 11.740
_cell_angle_alpha 86.37
_cell_angle_beta 81.86
_cell_angle_gamma 89.92
_symmetry_space_group_name_H-M 'P -1'
_symmetry_Int_Tables_number 2
loop_
_symmetry_equiv_pos_as_xyz
'x,y,z'
'-x,-y,-z'
loop_
_atom_site_label
_atom_site_fract_x
_atom_site_fract_y
_atom_site_fract_z
_atom_site_occupancy
Pr1 0.000 0.000 0.000 1
Pr2 0.321 0.524 0.368 1
Pr3 0.385 0.890 0.259 1
Sm1 0.197 0.832 0.579 1
Sm2 0.432 0.286 0.147 1
Sc1 0.051 0.380 0.894 1
```

Output
offset from the most stable computed form	0	meV per atom
total DFT energy (no corrections)	-4.964	eV per atom
energy of formation	0.076	eV per atom
crystal system	triclinic



[8]
Material: PmBiPPd
Method: DFT, PBE-GGA
State: relaxed

Cell and atoms, written as CIF:
```
data_PmBiPPd
_chemical_formula_sum 'Pm4 Bi4 P4 Pd4'
_cell_length_a 7.080
_cell_length_b 7.080
_cell_length_c 7.080
_cell_angle_alpha 90.00
_cell_angle_beta 90.00
_cell_angle_gamma 90.00
_symmetry_space_group_name_H-M 'F -4 3 m'
_symmetry_Int_Tables_number 216
_symmetry_space_group_name_Hall 'F -4 2 3'
loop_
_atom_site_label
_atom_site_fract_x
_atom_site_fract_y
_atom_site_fract_z
_atom_site_occupancy
Pm1 0.000 0.000 0.000 1
Bi1 0.000 0.000 0.500 1
P1 0.250 0.250 0.750 1
Pd1 0.250 0.250 0.250 1
```

Output
total DFT energy (no corrections)	-5.299	eV per atom
energy of formation	-0.491	eV per atom
crystal system	cubic



[9]
Material: Y3Ni4As4
Method: DFT, PBE-GGA
State: relaxed

Cell and atoms, written as CIF:
```
data_Y3Ni4As4
_chemical_formula_sum 'Y3 Ni4 As4'
_cell_length_a 3.958
_cell_length_b 4.047
_cell_length_c 12.297
_cell_angle_alpha 99.43
_cell_angle_beta 99.20
_cell_angle_gamma 90.01
_symmetry_space_group_name_H-M 'P -1'
_symmetry_Int_Tables_number 2
loop_
_symmetry_equiv_pos_as_xyz
'x,y,z'
'-x,-y,-z'
loop_
_atom_site_label
_atom_site_fract_x
_atom_site_fract_y
_atom_site_fract_z
_atom_site_occupancy
Y1 0.000 0.000 0.000 1
Y2 0.152 0.652 0.303 1
Ni1 0.251 0.251 0.502 1
Ni2 0.403 0.904 0.807 1
As1 0.306 0.806 0.613 1
As2 0.444 0.446 0.891 1
```

Output
total DFT energy (no corrections)	-6.497	eV per atom
energy of formation	-0.941	eV per atom
crystal system	triclinic



[10]
Material: CsBaCrS4
Method: DFT, PBE-GGA
State: relaxed

Cell and atoms, written as CIF:
```
data_CsBaCrS4
_chemical_formula_sum 'Cs2 Ba2 Cr2 S8'
_cell_length_a 6.927
_cell_length_b 6.828
_cell_length_c 9.841
_cell_angle_alpha 90.00
_cell_angle_beta 107.13
_cell_angle_gamma 90.00
_symmetry_space_group_name_H-M 'P 1 21/m 1'
_symmetry_Int_Tables_number 11
loop_
_symmetry_equiv_pos_as_xyz
'x,y,z'
'-x,-y,-z'
'-x,y+1/2,-z'
'x,-y+1/2,z'
loop_
_atom_site_label
_atom_site_fract_x
_atom_site_fract_y
_atom_site_fract_z
_atom_site_occupancy
Cs1 0.204 0.250 0.429 1
Ba1 0.267 0.250 0.963 1
Cr1 0.313 0.750 0.193 1
S1 0.107 0.750 0.317 1
S2 0.160 0.750 0.969 1
S3 0.495 0.001 0.761 1
```

Output
total DFT energy (no corrections)	-5.325	eV per atom
crystal system	monoclinic
formation energy without anion corrections	-115.3	kJ per mole of atoms



[11]
Material: BiIr
Method: DFT, PBE-GGA
State: relaxed

Cell and atoms, written as CIF:
```
data_BiIr
_chemical_formula_sum 'Bi8 Ir8'
_cell_length_a 11.052
_cell_length_b 11.052
_cell_length_c 4.117
_cell_angle_alpha 90.00
_cell_angle_beta 90.00
_cell_angle_gamma 90.00
_symmetry_space_group_name_H-M 'I 4/m'
_symmetry_Int_Tables_number 87
_symmetry_space_group_name_Hall '-I 4'
loop_
_atom_site_label
_atom_site_fract_x
_atom_site_fract_y
_atom_site_fract_z
_atom_site_occupancy
Bi1 0.063 0.297 0.000 1
Ir1 0.177 0.716 0.000 1
```

Output
total DFT energy (no corrections)	-5.859	eV per atom
energy of formation	0.512	eV per atom
crystal system	tetragonal



no.,volume (Å³ per atom)
1,17.73
2,27.88
3,18.56
4,22.29
5,24.33
6,32.54
7,33.31
8,22.18
9,17.43
10,31.77
11,31.43